No. 1
A relaxed structure of CrMo2Pt. Source: Alexandria via LeMat-Bulk, functional GGA-PBE.

Summary:
- Space group: No. 123
- ΔH_f (0 K): 0.078 eV/atom
- Energy relative to the lowest polymorph listed for this composition: 131 meV/atom

Lattice parameters (Å, degrees): 3.2386 3.2386 5.6958 90.00 90.00 90.00
Positions (direct):
Cr 0.0000 0.0000 0.0000
Mo 0.5000 0.5000 0.2263
Mo 0.5000 0.5000 0.7737
Pt 0.0000 0.0000 0.5000

No. 2
A relaxed structure of CrMo2Pt. Source: Alexandria via LeMat-Bulk, functional GGA-PBE.

Summary:
- Space group: No. 166
- ΔH_f (0 K): 0.181 eV/atom
- Energy relative to the lowest polymorph listed for this composition: 234 meV/atom

Lattice parameters (Å, degrees): 2.7375 2.7375 27.6645 90.00 90.00 120.00
Positions (direct):
Cr 0.0000 0.0000 0.0000
Cr 0.3333 0.6667 0.6667
Cr 0.6667 0.3333 0.3333
Mo 0.0000 0.0000 0.2528
Mo 0.0000 0.0000 0.7472
Mo 0.3333 0.6667 0.4139
Mo 0.3333 0.6667 0.9195
Mo 0.6667 0.3333 0.0805
Mo 0.6667 0.3333 0.5861
Pt 0.0000 0.0000 0.5000
Pt 0.3333 0.6667 0.1667
Pt 0.6667 0.3333 0.8333

No. 3
A relaxed structure of CrMoPt2. Source: Alexandria via LeMat-Bulk, functional GGA-PBE.

Summary:
- Space group: No. 225
- ΔH_f (0 K): 0.070 eV/atom
- Energy relative to the lowest polymorph listed for this composition: 312 meV/atom

Lattice parameters (Å, degrees): 6.3063 6.3063 6.3063 90.00 90.00 90.00
Positions (direct):
Cr 0.0000 0.0000 0.0000
Cr 0.0000 0.5000 0.5000
Cr 0.5000 0.0000 0.5000
Cr 0.5000 0.5000 0.0000
Mo 0.0000 0.0000 0.5000
Mo 0.0000 0.5000 0.0000
Mo 0.5000 0.0000 0.0000
Mo 0.5000 0.5000 0.5000
Pt 0.2500 0.2500 0.2500
Pt 0.2500 0.2500 0.7500
Pt 0.2500 0.7500 0.2500
Pt 0.2500 0.7500 0.7500
Pt 0.7500 0.2500 0.2500
Pt 0.7500 0.2500 0.7500
Pt 0.7500 0.7500 0.2500
Pt 0.7500 0.7500 0.7500

No. 4
A relaxed structure of CrMo2Pt. Source: Alexandria via LeMat-Bulk, functional GGA-PBE.

Summary:
- Space group: No. 216
- ΔH_f (0 K): 0.084 eV/atom
- Energy relative to the lowest polymorph listed for this composition: 137 meV/atom

Lattice parameters (Å, degrees): 6.2490 6.2490 6.2490 90.00 90.00 90.00
Positions (direct):
Cr 0.0000 0.0000 0.0000
Cr 0.0000 0.5000 0.5000
Cr 0.5000 0.0000 0.5000
Cr 0.5000 0.5000 0.0000
Mo 0.0000 0.0000 0.5000
Mo 0.0000 0.5000 0.0000
Mo 0.2500 0.2500 0.7500
Mo 0.2500 0.7500 0.2500
Mo 0.5000 0.0000 0.0000
Mo 0.5000 0.5000 0.5000
Mo 0.7500 0.2500 0.2500
Mo 0.7500 0.7500 0.7500
Pt 0.2500 0.2500 0.2500
Pt 0.2500 0.7500 0.7500
Pt 0.7500 0.2500 0.7500
Pt 0.7500 0.7500 0.2500